{
  "formula": "Sr2LiSc",
  "functional": "meta-GGA SCAN",
  "state": "PBEsol geometry",
  "crystal_system": "cubic",
  "spacegroup": "No. 216",
  "total_energy_ev_per_cell": -59.6,
  "magnetic_moment_mub_per_cell": 0.74,
  "lattice": [[5.819, 0.000, 0.000], [2.910, 5.039, 0.000], [2.910, 1.680, 4.751]],
  "species": ["Li", "Sr", "Sc", "Sr"],
  "frac_coords": [[0.500, 0.500, 0.500], [0.000, 0.000, 0.000], [0.250, 0.250, 0.250], [0.750, 0.750, 0.750]]
}